DFT (PBE) results for an optimized crystal structure of Ta2SiAg.

Its calculated volume is 66.5 Å³/f.u. As for the uncorrected formation energy: 111.9 meV per atom.

Structure (extended XYZ):
```
4
Lattice="5.2344 -0.0017 -0.0003 4.4735 2.7178 -0.0003 1.4783 0.4136 4.6696" Properties=species:S:1:pos:R:3 pbc="T T T"
Ta 1.5923 0.4455 4.3908
Ta 2.7492 0.7692 1.3744
Ag 5.3482 1.4964 2.1867
Si 8.5679 2.3972 3.7214
```

DFT (PBE) results for an optimized crystal structure of Nd2Zn2CdPt5.

The calculation puts the energy of formation at -7.4 eV per formula unit. Its calculated volume is 187.0 Å³/f.u.

Structure (extended XYZ):
```
20
Lattice="3.8750 0.0000 0.0000 0.0000 9.8241 0.0000 0.0000 0.0000 9.8241" Properties=species:S:1:pos:R:3 pbc="T T T"
Cd 0.0000 4.9121 4.9121
Cd 0.0000 0.0000 0.0000
Pt 1.9375 4.9121 0.0000
Pt 1.9375 6.9707 4.2767
Pt 1.9375 4.2767 2.8535
Pt 1.9375 0.6353 7.7655
Pt 1.9375 2.8535 5.5474
Pt 1.9375 2.0586 0.6353
Pt 1.9375 7.7655 9.1888
Pt 1.9375 9.1888 2.0586
Pt 1.9375 0.0000 4.9121
Pt 1.9375 5.5474 6.9707
Nd 0.0000 6.6627 1.7507
Nd 0.0000 3.1614 8.0735
Nd 0.0000 8.0735 6.6627
Nd 0.0000 1.7507 3.1614
Zn 0.0000 8.6549 3.7428
Zn 0.0000 6.0813 8.6549
Zn 0.0000 3.7428 1.1692
Zn 0.0000 1.1692 6.0813
```

DFT (PBE) results for an optimized crystal structure of Pm2SmTl2Cd2.

The calculation puts the energy of formation at -1.2 eV per formula unit. Its calculated volume is 197.9 Å³/f.u.

Structure (extended XYZ):
```
7
Lattice="-1.8180 -3.9513 -2.5330 3.1471 -3.4511 -1.8762 -0.1030 -7.1470 6.2219" Properties=species:S:1:pos:R:3 pbc="T T T"
Pm 1.1146 -9.2409 -1.3874
Pm 0.1115 -5.3085 3.2001
Cd 0.7495 -6.1051 -1.0162
Cd 0.4766 -8.4444 2.8289
Sm 0.0000 0.0000 0.0000
Tl 0.3389 -3.3596 -0.0034
Tl 0.8872 -11.1898 1.8160
```

DFT (PBE) results for an optimized crystal structure of BaC5.

The calculation puts the energy of formation at 8.1 eV per formula unit. Its calculated volume is 103.0 Å³/f.u. The energy above the most stable polymorph in this dataset is 0.488 eV per atom.

Structure (extended XYZ):
```
6
Lattice="0.4007 3.9733 -6.6769 -2.8649 -2.8813 6.6347 1.7203 3.9777 2.4702" Properties=species:S:1:pos:R:3 pbc="T T T"
C -0.7954 1.4627 -1.8015
C -0.8613 1.5076 3.2088
C -2.4046 -1.9151 4.7584
C 0.6555 4.6915 -2.9743
C -0.5575 2.1455 1.9701
Ba 0.2395 3.6351 -6.0201
```

DFT (PBE) results for an optimized crystal structure of YGa2Sn2.

The calculation puts the energy of formation at -1.5 eV per formula unit. Its calculated volume is 118.3 Å³/f.u. The energy above the most stable polymorph in this dataset is 0.037 eV per atom.

Structure (extended XYZ):
```
5
Lattice="4.0250 0.0000 1.3828 2.1200 5.1994 0.3785 0.2601 -0.7306 5.7921" Properties=species:S:1:pos:R:3 pbc="T T T"
Y 0.0000 0.0000 0.0000
Sn 2.9691 0.7747 4.4562
Sn 3.4360 3.6941 3.0972
Ga 1.7572 2.0306 1.4345
Ga 4.6479 2.4381 6.1189
```

DFT (PBE) results for an optimized crystal structure of KTaAs2.

The calculation puts the energy of formation at 1.8 eV per formula unit. Its calculated volume is 95.1 Å³/f.u. The energy above the most stable polymorph in this dataset is 0.833 eV per atom.

Structure (extended XYZ):
```
4
Lattice="2.8695 0.0163 0.0000 -0.4538 2.8335 0.0000 0.0000 0.0000 11.6904" Properties=species:S:1:pos:R:3 pbc="T T T"
K 0.0000 0.0000 5.8420
As 0.0000 0.0000 11.1290
As 1.2079 1.4249 3.1286
Ta 1.2079 1.4249 9.1263
```